Record 1
VASP calculation (GGA-PBEsol) on an optimized crystal structure of CuTcAs.

Cell and atoms, written as POSCAR:
```
CuTcAs
1.0
2.760 0.004 0.000
-1.064 2.547 0.000
-0.848 -1.276 6.187
As Cu Tc
1 1 1
Direct
0.994 0.994 0.988
0.669 0.669 0.338
0.337 0.337 0.673
```

Spin magnetization (μB per formula unit): 0.001
Electronic total energy (eV/cell): -19.374
ΔE_f (kJ per mole of atoms): 43
N(E_F) (states/eV/cell): 3.83

Record 2
VASP calculation (GGA-PBEsol) on an optimized crystal structure of Y2CuTcAs.

Cell and atoms, written as POSCAR:
```
Y2CuTcAs
1.0
-0.095 -3.732 2.676
3.665 -2.265 -3.028
3.779 2.072 3.025
Y As Tc Cu
2 1 1 1
Direct
0.000 0.000 0.500
0.000 0.500 0.000
0.500 0.000 0.000
0.000 0.000 0.000
0.500 0.500 0.500
```

Spin magnetization (μB per formula unit): 0.000
Electronic total energy (eV/cell): -33.519
ΔE_f (kJ per mole of atoms): 16
N(E_F) (states/eV/cell): 3.00

Record 3
VASP calculation (GGA-PBEsol) on an optimized crystal structure of CuTeAs3.

Cell and atoms, written as POSCAR:
```
CuTeAs3
1.0
-1.492 0.593 4.406
2.031 -4.043 1.232
3.954 2.300 1.030
As Te Cu
3 1 1
Direct
0.000 0.500 0.000
0.000 0.000 0.500
0.500 0.000 0.000
0.500 0.500 0.500
0.000 0.000 0.000
```

Spin magnetization (μB per formula unit): 0.001
Formation energy without anion corrections (eV per atom): 0.54
Electronic total energy (eV/cell): -20.490
N(E_F) (states/eV/cell): 4.65

Record 4
VASP calculation (GGA-PBEsol) on an optimized crystal structure of TlCuAs2.

Cell and atoms, written as POSCAR:
```
TlCuAs2
1.0
3.330 0.000 0.000
0.000 3.330 0.000
0.000 0.000 7.177
As Cu Tl
2 1 1
Direct
0.000 0.000 0.829
0.000 0.000 0.171
0.500 0.500 0.000
0.500 0.500 0.500
```

Spin magnetization (μB per formula unit): 0.000
Electronic total energy (eV/cell): -16.521
ΔE_f (kJ per mole of atoms): 16
N(E_F) (states/eV/cell): 1.55